Entry 1:
Tb2HoPa (PBE, relaxed); density of states at the Fermi level = 5.0 states/eV per cell; volume = 29.59 A^3/atom; energy relative to the elements = 0.2170 eV/atom; distance to the lowest polymorph of the same formula = 0.083 eV per atom; magnetization = 0.0 μB per formula unit; SG = No. 123
1.0
4.920 0.000 0.000
0.000 4.920 0.000
0.000 0.000 4.888
Tb Ho Pa
2 1 1
Direct
0.000 0.500 0.000 Tb
0.500 0.000 0.000 Tb
0.000 0.000 0.500 Ho
0.500 0.500 0.500 Pa

---

Entry 2:
Hf8Ga2P3 (PBE, relaxed); density of states at the Fermi level = 7.5 states/eV per cell; volume = 19.76 A^3/atom; energy relative to the elements = -0.5887 eV/atom; magnetization = 0.0 μB per formula unit; SG = No. 12
1.0
5.238 -3.201 0.000
5.238 3.201 0.000
-0.477 0.000 7.660
Hf Ga P
8 2 3
Direct
0.135 0.658 0.793 Hf
0.166 0.166 0.558 Hf
0.342 0.865 0.207 Hf
0.351 0.351 0.250 Hf
0.649 0.649 0.750 Hf
0.658 0.135 0.793 Hf
0.834 0.834 0.442 Hf
0.865 0.342 0.207 Hf
0.173 0.173 0.910 Ga
0.827 0.827 0.090 Ga
0.297 0.703 0.500 P
0.500 0.500 0.000 P
0.703 0.297 0.500 P

---

Entry 3:
Tb7Nd12Ho (PBE, relaxed); density of states at the Fermi level = 27.2 states/eV per cell; volume = 34.67 A^3/atom; energy relative to the elements = 0.2652 eV/atom; distance to the lowest polymorph of the same formula = 0.036 eV per atom; magnetization = 0.0 μB per formula unit; SG = No. 148
1.0
6.481 3.742 4.765
-6.481 3.742 4.765
0.000 -7.484 4.765
Tb Nd Ho
7 12 1
Direct
0.000 0.000 0.000 Tb
0.149 0.472 0.411 Tb
0.411 0.149 0.472 Tb
0.472 0.411 0.149 Tb
0.528 0.589 0.851 Tb
0.589 0.851 0.528 Tb
0.851 0.528 0.589 Tb
0.014 0.350 0.084 Nd
0.084 0.014 0.350 Nd
0.189 0.325 0.751 Nd
0.249 0.811 0.675 Nd
0.325 0.751 0.189 Nd
0.350 0.084 0.014 Nd
0.650 0.916 0.986 Nd
0.675 0.249 0.811 Nd
0.751 0.189 0.325 Nd
0.811 0.675 0.249 Nd
0.916 0.986 0.650 Nd
0.986 0.650 0.916 Nd
0.500 0.500 0.500 Ho

---

Entry 4:
Rb2HgSbTe4 (PBE, relaxed); density of states at the Fermi level = 3.6 states/eV per cell; volume = 42.13 A^3/atom; magnetization = 0.0 μB per formula unit; SG = No. 70; E_tot = -2.844 eV per atom
1.0
0.000 7.751 12.006
3.622 0.000 12.006
3.622 7.751 0.000
Rb Hg Sb Te
4 2 2 8
Direct
0.066 0.066 0.684 Rb
0.316 0.316 0.934 Rb
0.684 0.684 0.066 Rb
0.934 0.934 0.316 Rb
0.375 0.375 0.375 Hg
0.625 0.625 0.625 Hg
0.125 0.125 0.125 Sb
0.875 0.875 0.875 Sb
0.052 0.338 0.401 Te
0.291 0.599 0.662 Te
0.338 0.052 0.709 Te
0.401 0.709 0.052 Te
0.599 0.291 0.948 Te
0.662 0.948 0.291 Te
0.709 0.401 0.338 Te
0.948 0.662 0.599 Te

---

Entry 5:
MnCd2Br (PBE, relaxed); density of states at the Fermi level = 4.5 states/eV per cell; volume = 24.32 A^3/atom; distance to the lowest polymorph of the same formula = 0.393 eV per atom; magnetization = 4.7 μB per formula unit; SG = No. 216
1.0
0.000 3.650 3.650
3.650 0.000 3.650
3.650 3.650 0.000
Mn Cd Br
1 2 1
Direct
0.000 0.000 0.000 Mn
0.250 0.250 0.250 Cd
0.500 0.500 0.500 Cd
0.750 0.750 0.750 Br

---

Entry 6:
LiTa2Ag (PBE, relaxed); density of states at the Fermi level = 2.5 states/eV per cell; volume = 17.57 A^3/atom; energy relative to the elements = 0.1803 eV/atom; distance to the lowest polymorph of the same formula = 0.033 eV per atom; magnetization = 0.0 μB per formula unit; SG = No. 99
1.0
2.805 0.000 0.000
0.000 2.805 0.000
0.000 0.000 8.930
Li Ta Ag
1 2 1
Direct
0.000 0.000 0.000 Li
0.000 0.000 0.522 Ta
0.500 0.500 0.270 Ta
0.500 0.500 0.775 Ag

---

Entry 7:
SrCeSb (PBE, relaxed); density of states at the Fermi level = 8.9 states/eV per cell; volume = 38.01 A^3/atom; magnetization = 1.6 μB per formula unit; SG = No. 156; E_tot = -4.272 eV per atom
1.0
5.236 0.000 0.000
-2.618 4.534 0.000
0.000 0.000 4.803
Sr Ce Sb
1 1 1
Direct
0.000 0.000 0.000 Sr
0.333 0.667 0.510 Ce
0.667 0.333 0.371 Sb

---

Entry 8:
RhIO2 (PBE, relaxed); density of states at the Fermi level = 26.0 states/eV per cell; volume = 19.96 A^3/atom; distance to the lowest polymorph of the same formula = 0.256 eV per atom; magnetization = 0.0 μB per formula unit; SG = No. 122
1.0
-3.050 3.050 4.294
3.050 -3.050 4.294
3.050 3.050 -4.294
Rh I O
2 2 4
Direct
0.000 0.000 0.000 Rh
0.750 0.250 0.500 Rh
0.250 0.750 0.500 I
0.500 0.500 0.000 I
0.375 0.187 0.312 O
0.813 0.125 0.188 O
0.875 0.063 0.688 O
0.937 0.625 0.812 O

---

Repeat the third record exactly.
Tb7Nd12Ho (PBE, relaxed); density of states at the Fermi level = 27.2 states/eV per cell; volume = 34.67 A^3/atom; energy relative to the elements = 0.2652 eV/atom; distance to the lowest polymorph of the same formula = 0.036 eV per atom; magnetization = 0.0 μB per formula unit; SG = No. 148
1.0
6.481 3.742 4.765
-6.481 3.742 4.765
0.000 -7.484 4.765
Tb Nd Ho
7 12 1
Direct
0.000 0.000 0.000 Tb
0.149 0.472 0.411 Tb
0.411 0.149 0.472 Tb
0.472 0.411 0.149 Tb
0.528 0.589 0.851 Tb
0.589 0.851 0.528 Tb
0.851 0.528 0.589 Tb
0.014 0.350 0.084 Nd
0.084 0.014 0.350 Nd
0.189 0.325 0.751 Nd
0.249 0.811 0.675 Nd
0.325 0.751 0.189 Nd
0.350 0.084 0.014 Nd
0.650 0.916 0.986 Nd
0.675 0.249 0.811 Nd
0.751 0.189 0.325 Nd
0.811 0.675 0.249 Nd
0.916 0.986 0.650 Nd
0.986 0.650 0.916 Nd
0.500 0.500 0.500 Ho

---

Q: volume of number 6 (LiTa2Ag)?
A: 17.57 A^3/atom